Below is a relaxed structure of BaSrSn2O6, with properties calculated at the PBE level.

a b c (Å): 5.8700 5.8700 5.8700
angles (deg): 60.00 60.00 60.00
Positions (direct):
1 Ba 0.0000 0.0000 0.0000
2 Sr 0.5000 0.5000 0.5000
3 Sn 0.2500 0.2500 0.2500
4 Sn 0.7500 0.7500 0.7500
5 O 0.0000 0.0000 0.5000
6 O 0.0000 0.5000 0.0000
7 O 0.0000 0.5000 0.5000
8 O 0.5000 0.0000 0.0000
9 O 0.5000 0.0000 0.5000
10 O 0.5000 0.5000 0.0000

## Properties
Energy above the most stable polymorph in this dataset   4 meV per atom
Crystal system   cubic
Magnetization   0.000 μB/atom
Uncorrected energy   -6.30 eV per atom
Formation energy (no corrections)   -2.166 eV per atom
Space group   Fm-3m (225)


Below is a relaxed structure of Li5Cd4Cu, with properties calculated at the PBE level.

a b c (Å): 3.3437 3.3437 15.4881
angles (deg): 90.00 90.00 90.00
Positions (direct):
1 Li 0.0000 0.0000 0.0000
2 Li 0.0000 0.0000 0.2092
3 Li 0.0000 0.0000 0.4155
4 Li 0.0000 0.0000 0.5845
5 Li 0.0000 0.0000 0.7908
6 Cd 0.5000 0.5000 0.1047
7 Cd 0.5000 0.5000 0.3147
8 Cd 0.5000 0.5000 0.6853
9 Cd 0.5000 0.5000 0.8953
10 Cu 0.5000 0.5000 0.5000

## Properties
Crystal system   tetragonal
Magnetization   0.000 μB/atom
Uncorrected energy   -1.92 eV per atom
Space group   P4/mmm (123)


Below is a relaxed structure of NbIrSe2, with properties calculated at the PBE level.

a b c (Å): 8.5977 8.5977 8.5977
angles (deg): 21.54 21.54 21.54
Positions (direct):
1 Nb 0.0000 0.0000 0.0000
2 Ir 0.5000 0.5000 0.5000
3 Se 0.4054 0.4054 0.4054
4 Se 0.5946 0.5946 0.5946

## Properties
Energy above the most stable polymorph in this dataset   0 meV per atom
Crystal system   trigonal
Magnetization   0.000 μB/atom
Uncorrected energy   -6.62 eV per atom
Formation energy (no corrections)   -0.142 eV per atom
Space group   R-3m (166)


Below is a relaxed structure of ScAlCuTc, with properties calculated at the PBE level.

a b c (Å): 4.4246 4.4246 4.4246
angles (deg): 60.00 60.00 60.00
Positions (direct):
1 Sc 0.0000 0.0000 0.0000
2 Al 0.5000 0.5000 0.5000
3 Cu 0.2500 0.2500 0.2500
4 Tc 0.7500 0.7500 0.7500

## Properties
Crystal system   cubic
Magnetization   0.000 μB/atom
Uncorrected energy   -6.39 eV per atom
Space group   F-43m (216)